Entry from the Alexandria database: a relaxed PaAsRuS crystal (PBE).

POSCAR file:
```
PaAsRuS
1.0
4.2224 0.0000 0.0000
0.0000 4.2224 0.0000
0.0000 0.0000 8.3482
Pa As Ru S
2 2 2 2
Cartesian
1.0556 1.0556 1.7953
3.1668 3.1668 6.5529
1.0556 1.0556 5.5238
3.1668 3.1668 2.8243
1.0556 3.1668 4.1741
3.1668 1.0556 4.1741
1.0556 3.1668 0.0000
3.1668 1.0556 0.0000
```

- E_tot: -7.917 eV per atom